[1]
Crystalline InRh2Au at its relaxed geometry. Source: Alexandria, functional PBE-GGA.

Values from the calculation:
As for the symmetry: R3m, No. 160. The calculation puts the energy of formation at 13.4 kJ per mole of atoms.

Geometry as POSCAR:
```
InRh2Au
1.0
9.096 -1.473 -0.005
9.096 1.473 -0.005
8.858 0.000 2.536
In Rh Au
1 2 1
Cartesian
6.889 0.000 0.643
20.171 0.000 1.884
0.061 0.000 0.006
13.454 0.000 1.257
```

[2]
Crystalline CaMg2Tl at its relaxed geometry. Source: Alexandria, functional PBE-GGA.

Values from the calculation:
As for the symmetry: Pmmm, No. 47. The energy above the most stable polymorph in this dataset comes out at 46 meV/atom. The calculation puts the energy of formation at -15.5 kJ per mole of atoms.

Geometry as POSCAR:
```
CaMg2Tl
1.0
-3.606 -1.037 -2.622
1.844 -4.157 -0.891
-2.354 -1.898 3.988
Ca Mg Tl
1 2 1
Cartesian
-0.255 -3.028 1.549
-0.881 -2.597 -1.756
0.000 0.000 0.000
-2.980 -1.468 0.683
```

[3]
Crystalline Na4IrS4 at its relaxed geometry. Source: Alexandria, functional PBE-GGA.

Values from the calculation:
As for the symmetry: I-42m, No. 121. Its uncorrected formation energy is -0.61 eV per atom.

Geometry as POSCAR:
```
Na4IrS4
1.0
6.315 0.000 0.000
0.000 6.315 0.000
-3.157 -3.157 6.292
Ir Na S
1 4 4
Cartesian
0.000 0.000 0.000
3.157 3.157 2.569
0.000 3.157 0.000
0.000 0.000 3.723
3.157 0.000 0.000
5.123 1.192 1.542
1.192 5.123 1.542
-1.966 -1.966 4.750
1.966 1.966 4.750
```

[4]
Crystalline LaTbPm2 at its relaxed geometry. Source: Alexandria, functional PBE-GGA.

Values from the calculation:
As for the symmetry: P4/mmm, No. 123. The energy above the most stable polymorph in this dataset comes out at 99 meV/atom. The calculation puts the energy of formation at 11.3 kJ per mole of atoms.

Geometry as POSCAR:
```
LaTbPm2
1.0
4.310 0.000 0.000
0.000 4.310 0.000
0.000 0.000 7.434
La Pm Tb
1 2 1
Cartesian
2.155 2.155 3.717
0.000 0.000 5.634
0.000 0.000 1.800
2.155 2.155 0.000
```

[5]
Crystalline ZnGeRh at its relaxed geometry. Source: Alexandria, functional PBE-GGA.

Values from the calculation:
As for the symmetry: P-6m2, No. 187. The calculation puts the energy of formation at -20.9 kJ per mole of atoms.

Geometry as POSCAR:
```
ZnGeRh
1.0
2.979 0.000 0.000
0.000 4.228 0.000
0.000 -2.114 3.662
Rh Zn Ge
1 1 1
Cartesian
1.488 0.000 2.441
2.978 0.000 0.000
1.492 2.114 1.221
```

[6]
Crystalline TiMn2NiHg at its relaxed geometry. Source: Alexandria, functional PBE-GGA.

Values from the calculation:
As for the symmetry: P4/mmm, No. 123. The calculation puts the energy of formation at 49.2 kJ per mole of atoms.

Geometry as POSCAR:
```
TiMn2NiHg
1.0
-1.603 -4.301 -0.047
3.619 -1.372 2.182
-2.127 0.749 3.998
Mn Ti Ni Hg
2 1 1 1
Cartesian
-0.801 -2.151 -0.023
-1.064 0.375 1.999
1.810 -0.686 1.091
0.000 0.000 0.000
-0.055 -2.462 3.067
```

| no. | E_tot (eV per cell) | M_tot (μB/f.u.) |
| --- | --- | --- |
| 1 | -20.16 | 1.45 |
| 2 | -8.20 | 0.00 |
| 3 | -36.15 | 1.01 |
| 4 | -18.59 | 0.00 |
| 5 | -13.89 | 0.00 |
| 6 | -29.77 | 6.99 |